# 1
The following is a PBE calculation of crystalline Ba2CrTc at its relaxed geometry, from Alexandria.

Properties
space group: No. 99
total energy: -21.3 eV per cell
theoretical density: 5.8 g cm⁻³
offset from the most stable computed form: 190.8 meV per atom
E_form: 0.646 eV per atom
DOS at the Fermi energy: 5.28 states/eV per cell

Cell and atoms, written as CIF:
```
data_Ba2CrTc
_cell_length_a 3.535
_cell_length_b 3.535
_cell_length_c 9.774
_cell_angle_alpha 90.00
_cell_angle_beta 90.00
_cell_angle_gamma 90.00
_space_group_name_H-M_alt 'P 1'
_space_group_IT_number 1
_space_group_name_Hall 'P 1'
loop_
_atom_site_label
_atom_site_type_symbol
_atom_site_fract_x
_atom_site_fract_y
_atom_site_fract_z
Ba1 Ba 0.000 0.000 0.000
Ba2 Ba 0.500 0.500 0.408
Cr1 Cr 0.000 0.000 0.679
Tc1 Tc 0.500 0.500 0.724
```

=====

# 2
The following is a PBE calculation of crystalline Ba2CrTc at its relaxed geometry, from Alexandria.

Properties
space group: No. 8
total energy: -22.0 eV per cell
theoretical density: 5.1 g cm⁻³
offset from the most stable computed form: 0.0 meV per atom
E_form: 0.455 eV per atom
DOS at the Fermi energy: 3.51 states/eV per cell

Cell and atoms, written as CIF:
```
data_Ba2CrTc
_cell_length_a 4.142
_cell_length_b 4.142
_cell_length_c 9.605
_cell_angle_alpha 102.26
_cell_angle_beta 102.26
_cell_angle_gamma 59.99
_space_group_name_H-M_alt 'P 1'
_space_group_IT_number 1
_space_group_name_Hall 'P 1'
loop_
_atom_site_label
_atom_site_type_symbol
_atom_site_fract_x
_atom_site_fract_y
_atom_site_fract_z
Ba1 Ba 0.000 0.000 0.000
Ba2 Ba 0.177 0.177 0.537
Cr1 Cr 0.422 0.422 0.269
Tc1 Tc 0.755 0.755 0.269
```

=====

The highest E_form belongs to which entry? number 1